Computed, not measured: an optimized crystal structure of VSnGe2F at the PBE+U level of DFT.

Properties
- Space-group type: No. 123
- DOS(E_F): 0.8183 states/eV/atom
- Electronic total energy: -4.168 eV/atom

```
VSnGe2F
1.0
-4.648 -1.643 2.076
1.977 -1.077 3.573
-0.861 4.904 1.955
Ge V Sn F
2 1 1 1
direct
0.500 0.000 0.000 Ge
0.000 0.000 0.500 Ge
0.500 0.500 0.500 V
0.000 0.000 0.000 Sn
0.000 0.500 0.000 F
```